This record from Alexandria via LeMat-Bulk describes RhAu4 at its PBEsol-relaxed geometry. The functional is SCAN.

The structure belongs to space group I4/m (No. 87); the cell edges are 6.3339, 6.3339 and 4.0377 Å and the angles 90.00°, 90.00° and 90.00°. The distinct sites, in fractional coordinates, are Rh at (0.0000, 0.0000, 0.0000) and Au at (0.1019, 0.2977, 0.5000).

***

This record from Alexandria via LeMat-Bulk describes Cr2FePt at its PBEsol-relaxed geometry. The functional is SCAN.

The structure belongs to space group Cmmm (No. 65); the cell edges are 5.0794, 7.3509 and 2.5586 Å and the angles 90.00°, 90.00° and 90.00°. The distinct sites, in fractional coordinates, are Cr at (0.2500, 0.2500, 0.0000), Fe at (0.0000, 0.0000, 0.5000) and Pt at (0.0000, 0.5000, 0.5000).

***

This record from Alexandria via LeMat-Bulk describes CaZr2Be at its PBEsol-relaxed geometry. The functional is SCAN.

The structure belongs to space group P4mm (No. 99); the cell edges are 3.2545, 3.2545 and 8.1975 Å and the angles 90.00°, 90.00° and 90.00°. The distinct sites, in fractional coordinates, are Ca at (0.0000, 0.0000, 0.0000), Zr at (0.0000, 0.0000, 0.5932), Zr at (0.5000, 0.5000, 0.3444) and Be at (0.5000, 0.5000, 0.7629).

***

This record from Alexandria via LeMat-Bulk describes La3GeOs at its PBEsol-relaxed geometry. The functional is SCAN.

The structure belongs to space group Pm-3m (No. 221); the cell edges are 5.4045, 5.4045 and 5.4045 Å and the angles 90.00°, 90.00° and 90.00°. The distinct sites, in fractional coordinates, are La at (0.0000, 0.0000, 0.5000), Ge at (0.5000, 0.5000, 0.5000) and Os at (0.0000, 0.0000, 0.0000).

***

D(E_F) across the listed records, respectively: 0.71, 0.79, 0.82, 0.47 states/eV/atom.
ΔE_f across the listed records, respectively: 0.09, -0.05, 0.17, -0.30 eV per atom.